Tc3As | GGA-PBE | optimized geometry

Unit cell a=5.986 b=8.922 c=4.461 alpha=90.00 beta=90.00 gamma=90.00
Space group Cmcm (No. 63)
Symmetry-distinct sites (fractional):
Tc: 0.000 0.197 0.250 x4
Tc: 0.234 0.076 0.750 x8
As: 0.000 0.348 0.750 x4

## Properties
M_tot in μB/atom: 0.000
Energy above the most stable polymorph in this dataset in kJ/mol of formula units: 70

Tc4As | GGA-PBE | optimized geometry

Unit cell a=5.589 b=5.589 c=5.589 alpha=90.00 beta=90.00 gamma=90.00
Space group Im-3m (No. 229)
Symmetry-distinct sites (fractional):
Tc: 0.250 0.250 0.250 x8
As: 0.000 0.000 0.000 x2

## Properties
M_tot in μB/atom: 0.000
Energy above the most stable polymorph in this dataset in kJ/mol of formula units: 0